1.
A plane-wave DFT calculation with PBE was carried out for Nd3ErSn2 after structural relaxation.

Output
- ΔE to the lowest computed polymorph: 0.061 kcal/mol of atoms
- VASP energy: -0.3714 Ry/atom

Geometry as POSCAR:
```
Nd3ErSn2
1.0
4.633 0.000 0.000
0.000 4.633 0.000
0.000 0.000 8.721
Er Nd Sn
1 3 2
Direct
0.500 0.500 0.000
0.000 0.000 0.000
0.000 0.500 0.651
0.500 0.000 0.349
0.500 0.000 0.724
0.000 0.500 0.276
```

=====

2.
A plane-wave DFT calculation with PBE was carried out for Pr2GaSe4 after structural relaxation.

Output
- VASP energy: -0.3712 Ry/atom
- ΔE_f (raw): -1.26 eV/atom

Geometry as POSCAR:
```
Pr2GaSe4
1.0
-0.807 -4.385 -5.440
-5.415 -3.068 3.276
0.659 6.260 -0.597
Ga Se Pr
1 4 2
Direct
0.500 0.500 0.000
0.279 0.788 0.067
0.721 0.721 0.933
0.212 0.212 0.933
0.788 0.279 0.067
0.250 0.750 0.500
0.750 0.250 0.500
```